(1)
# Ga2AgGe2

A relaxed Ga2AgGe2 crystal (GGA-PBE, the Alexandria database).

* DFT total energy: -16.95 eV/cell
* relative energy among the computed polymorphs: 0.066 eV/atom
* DFT formation energy: 0.24 eV per atom
* calculated density: 6.29 g cm⁻³

Cell lengths 6.077, 6.077, 6.077 Å; angles 136.86, 136.86, 62.65 degrees
Fractional positions:
Ga: 0.250 0.750 0.500
Ga: 0.750 0.250 0.500
Ag: 0.000 0.000 0.000
Ge: 0.383 0.383 0.000
Ge: 0.617 0.617 0.000

(2)
# Al3TlS

A relaxed Al3TlS crystal (GGA-PBE, the Alexandria database).

* DFT total energy: -13.33 eV/cell
* relative energy among the computed polymorphs: 0.523 eV/atom
* uncorrected formation energy: 877 meV/atom
* calculated density: 3.69 g cm⁻³

Cell lengths 5.227, 5.227, 5.227 Å; angles 90.00, 90.00, 90.00 degrees
Fractional positions:
Al: 0.000 0.000 0.500
Al: 0.000 0.500 0.000
Al: 0.500 0.000 0.000
Tl: 0.000 0.000 0.000
S: 0.500 0.500 0.500

The evaluated total moment for the records listed, in turn: 0.00, 0.00 μB per formula unit.